Entry 1:
# Ga2AgHg2 | Alexandria | GGA-PBE | optimized geometry
# Energy relative to the elements ... 0.089 eV per atom
data_Ga2AgHg2
_space_group_name_H-M_alt 'P 1'
_space_group_IT_number 1
_space_group_name_Hall 'P 1'
_cell_length_a 6.9823
_cell_length_b 6.9823
_cell_length_c 4.4723
_cell_angle_alpha 90.00
_cell_angle_beta 90.00
_cell_angle_gamma 90.00
loop_
_atom_site_label
_atom_site_fract_x
_atom_site_fract_y
_atom_site_fract_z
Ga1 0.1345 0.3655 0.0000
Ga2 0.3655 0.8655 0.0000
Ga3 0.6345 0.1345 0.0000
Ga4 0.8655 0.6345 0.0000
Ag1 0.0000 0.0000 0.0000
Ag2 0.5000 0.5000 0.0000
Hg1 0.1818 0.6818 0.5000
Hg2 0.3182 0.1818 0.5000
Hg3 0.6818 0.8182 0.5000
Hg4 0.8182 0.3182 0.5000

Entry 2:
# GaAgHg | Alexandria | GGA-PBE | optimized geometry
# Energy relative to the elements ... 0.072 eV per atom
data_GaAgHg
_space_group_name_H-M_alt 'P 1'
_space_group_IT_number 1
_space_group_name_Hall 'P 1'
_cell_length_a 2.8724
_cell_length_b 4.6430
_cell_length_c 10.1032
_cell_angle_alpha 99.43
_cell_angle_beta 95.23
_cell_angle_gamma 91.85
loop_
_atom_site_label
_atom_site_fract_x
_atom_site_fract_y
_atom_site_fract_z
Ga1 0.0000 0.0000 0.0000
Ga2 0.1168 0.4061 0.2805
Ag1 0.4904 0.4874 0.9730
Ag2 0.6106 0.8878 0.2498
Hg1 0.3887 0.8603 0.7234
Hg2 0.7762 0.2813 0.5398

Entry 3:
# Ga3Ag3Hg | Alexandria | GGA-PBE | optimized geometry
# Energy relative to the elements ... 0.049 eV per atom
data_Ga3Ag3Hg
_space_group_name_H-M_alt 'P 1'
_space_group_IT_number 1
_space_group_name_Hall 'P 1'
_cell_length_a 5.9487
_cell_length_b 7.0271
_cell_length_c 7.1158
_cell_angle_alpha 66.36
_cell_angle_beta 85.79
_cell_angle_gamma 85.92
loop_
_atom_site_label
_atom_site_fract_x
_atom_site_fract_y
_atom_site_fract_z
Ga1 0.0163 0.0586 0.2927
Ga2 0.1959 0.6152 0.6500
Ga3 0.3101 0.7420 0.2503
Ga4 0.6899 0.2580 0.7497
Ga5 0.8041 0.3848 0.3500
Ga6 0.9837 0.9414 0.7073
Ag1 0.1335 0.2006 0.8847
Ag2 0.2390 0.4971 0.0559
Ag3 0.4759 0.8830 0.8507
Ag4 0.5241 0.1170 0.1493
Ag5 0.7610 0.5029 0.9441
Ag6 0.8665 0.7994 0.1153
Hg1 0.3412 0.2535 0.4800
Hg2 0.6588 0.7465 0.5200

no.,offset from the most stable computed form (eV per atom)
1,0.000
2,0.018
3,0.000